(1)
Entry from the Alexandria database: a geometry-optimized BaPm2Cd2In2 structure (PBE-GGA).

As for the formation energy: -0.33 eV per atom. Its electronic total energy is -63.07 eV for the cell shown.

The space group is R-3m (No. 166, hexagonal axes) and the conventional cell measures 5.0652, 5.0652 and 30.2339 Å, with angles of 90.00, 90.00 and 120.00 degrees. The inequivalent atoms are Ba at (0.0000, 0.0000, 0.0000), Pm at (0.0000, 0.0000, 0.1319), Cd at (0.0000, 0.0000, 0.4200) and In at (0.0000, 0.0000, 0.2498).


(2)
Entry from the Alexandria database: a geometry-optimized TlSb2MoI structure (PBE-GGA).

The value obtained for the formation energy (no corrections) is 1.4504 eV/atom. The energy above the most stable polymorph in this dataset comes out at 1157.1 meV per atom. Its electronic total energy is -15.74 eV for the cell shown.

The space group is P4/mmm (No. 123) and the conventional cell measures 5.662, 5.662 and 6.097 Å, with angles of 90.00, 90.00 and 90.00 degrees. The inequivalent atoms are Tl at (0.000, 0.000, 0.000), Sb at (0.000, 0.500, 0.000), Mo at (0.500, 0.500, 0.500) and I at (0.000, 0.000, 0.500).


(3)
Entry from the Alexandria database: a geometry-optimized BaNa3F structure (PBE-GGA).

The value obtained for the formation energy (no corrections) is -0.7267 eV/atom. The energy above the most stable polymorph in this dataset comes out at 0.0 meV per atom. Its electronic total energy is -11.38 eV for the cell shown.

The space group is Pm-3m (No. 221) and the conventional cell measures 5.467, 5.467 and 5.467 Å, with angles of 90.00, 90.00 and 90.00 degrees. The inequivalent atoms are Ba at (0.000, 0.000, 0.000), Na at (0.000, 0.500, 0.500) and F at (0.500, 0.500, 0.500).


(4)
Entry from the Alexandria database: a geometry-optimized Ce2NdF8 structure (PBE-GGA).

The value obtained for the formation energy (no corrections) is -3.7891 eV/atom. Its electronic total energy is -146.57 eV for the cell shown.

The space group is Immm (No. 71) and the conventional cell measures 3.968, 6.652 and 11.309 Å, with angles of 90.00, 90.00 and 90.00 degrees. The inequivalent atoms are Ce at (0.000, 0.000, 0.183), Nd at (0.000, 0.000, 0.500), F at (0.000, 0.193, 0.000), F at (0.000, 0.276, 0.344) and F at (0.000, 0.500, 0.141).


(5)
Entry from the Alexandria database: a geometry-optimized Ac2TeN structure (PBE-GGA).

The value obtained for the formation energy (no corrections) is -1.0090 eV/atom. The energy above the most stable polymorph in this dataset comes out at 341.6 meV per atom. Its electronic total energy is -47.44 eV for the cell shown.

The space group is Pmmn (No. 59, origin choice 2) and the conventional cell measures 4.094, 7.119 and 7.903 Å, with angles of 90.00, 90.00 and 90.00 degrees. The inequivalent atoms are Ac at (0.250, 0.010, 0.192), Te at (0.250, 0.250, 0.568) and N at (0.250, 0.750, 0.929).


(6)
Entry from the Alexandria database: a geometry-optimized ZrTcSe2 structure (PBE-GGA).

The value obtained for the formation energy (no corrections) is -0.5565 eV/atom. The energy above the most stable polymorph in this dataset comes out at 69.3 meV per atom. Its electronic total energy is -28.11 eV for the cell shown.

The space group is P4mm (No. 99) and the conventional cell measures 3.249, 3.249 and 8.061 Å, with angles of 90.00, 90.00 and 90.00 degrees. The inequivalent atoms are Zr at (0.000, 0.000, 0.000), Tc at (0.500, 0.500, 0.740), Se at (0.000, 0.000, 0.601) and Se at (0.500, 0.500, 0.184).


(7)
Entry from the Alexandria database: a geometry-optimized LaCN2 structure (PBE-GGA).

The value obtained for the formation energy (no corrections) is -0.6793 eV/atom. Its electronic total energy is -134.08 eV for the cell shown.

The space group is Pnma (No. 62) and the conventional cell measures 12.448, 3.880 and 5.200 Å, with angles of 90.00, 90.00 and 90.00 degrees. The inequivalent atoms are La at (0.139, 0.250, 0.071), C at (0.126, 0.750, 0.616), N at (0.055, 0.750, 0.790) and N at (0.158, 0.750, 0.384).


(8)
Entry from the Alexandria database: a geometry-optimized ReIrOs2 structure (PBE-GGA).

As for the formation energy: 0.68 eV per atom. The energy above the most stable polymorph in this dataset comes out at 798.4 meV per atom. Its electronic total energy is -164.13 eV for the cell shown.

The space group is F-43m (No. 216) and the conventional cell measures 6.205, 6.205 and 6.205 Å, with angles of 90.00, 90.00 and 90.00 degrees. The inequivalent atoms are Re at (0.000, 0.000, 0.000), Ir at (0.250, 0.250, 0.750), Os at (0.000, 0.000, 0.500) and Os at (0.250, 0.250, 0.250).


(9)
Entry from the Alexandria database: a geometry-optimized CuPt structure (PBE-GGA).

As for the formation energy: 0.03 eV per atom. Its electronic total energy is -40.29 eV for the cell shown.

The space group is P6_3/mmc (No. 194) and the conventional cell measures 4.1738, 4.1738 and 7.8117 Å, with angles of 90.00, 90.00 and 120.00 degrees. The inequivalent atoms are Cu at (0.0000, 0.0000, 0.2500), Cu at (0.3333, 0.6667, 0.2500) and Pt at (0.3333, 0.6667, 0.5814).


(10)
Entry from the Alexandria database: a geometry-optimized Rb2SrZn2O4 structure (PBE-GGA).

The value obtained for the formation energy (no corrections) is -1.6088 eV/atom. Its electronic total energy is -80.95 eV for the cell shown.

The space group is C2/m (No. 12) and the conventional cell measures 14.057, 3.617 and 6.997 Å, with angles of 90.00, 111.91 and 90.00 degrees. The inequivalent atoms are Rb at (0.125, 0.000, 0.041), Sr at (0.000, 0.000, 0.500), Zn at (0.172, 0.500, 0.467), O at (0.031, 0.500, 0.280) and O at (0.207, 0.000, 0.632).


(11)
Entry from the Alexandria database: a geometry-optimized BaCu3B structure (PBE-GGA).

As for the formation energy: 0.20 eV per atom. The energy above the most stable polymorph in this dataset comes out at 0.0 meV per atom. Its electronic total energy is -19.87 eV for the cell shown.

The space group is Pm-3m (No. 221) and the conventional cell measures 4.384, 4.384 and 4.384 Å, with angles of 90.00, 90.00 and 90.00 degrees. The inequivalent atoms are Ba at (0.000, 0.000, 0.000), Cu at (0.000, 0.500, 0.500) and B at (0.500, 0.500, 0.500).


(12)
Entry from the Alexandria database: a geometry-optimized Ce5DyPb6 structure (PBE-GGA).

As for the formation energy: -0.30 eV per atom. The energy above the most stable polymorph in this dataset comes out at 97.2 meV per atom. Its electronic total energy is -120.26 eV for the cell shown.

The space group is C2/m (No. 12) and the conventional cell measures 7.848, 13.602 and 7.853 Å, with angles of 90.00, 109.48 and 90.00 degrees. The inequivalent atoms are Ce at (0.000, 0.000, 0.000), Ce at (0.000, 0.167, 0.500), Ce at (0.000, 0.333, 0.000), Dy at (0.000, 0.500, 0.500), Pb at (0.250, 0.000, 0.750) and Pb at (0.250, 0.167, 0.250).


Q: Among the records above, which one has the lowest electronic total energy?
A: ReIrOs2